Record 1
DFT (PBE) results for crystalline PuOF4 at its relaxed geometry.

a b c (Å): 4.0903 5.4770 5.4770
angles (deg): 81.99 68.07 68.07
With the nearest neighbours (Å) after each atom.
Element x y z (fractional)
1 Pu 0.9425 0.0000 0.0000  4 F 2.01, 2 O 2.04-2.05
2 O 0.4425 0.0000 0.0000  2 Pu 2.04-2.05
3 F 0.6762 0.1802 0.3524  1 Pu 2.01
4 F 0.0286 0.6476 0.1802  1 Pu 2.01
5 F 0.8564 0.3524 0.8198  1 Pu 2.01
6 F 0.2088 0.8198 0.6476  1 Pu 2.01

Computed properties:
Fermi-level density of states: 0.70 states/eV/atom
Formation energy from raw total energies: -2772 meV/atom



Record 2
DFT (PBE) results for crystalline NdTmFe4 at its relaxed geometry.

a b c (Å): 5.1807 5.1807 5.1807
angles (deg): 60.00 60.00 60.00
With the nearest neighbours (Å) after each atom.
Element x y z (fractional)
1 Tm 0.0000 0.0000 0.0000  12 Fe 3.04, 4 Nd 3.17
2 Nd 0.2500 0.2500 0.2500  12 Fe 3.04, 4 Tm 3.17
3 Fe 0.6255 0.6254 0.1236  6 Fe 2.58-2.60
4 Fe 0.6255 0.1236 0.6254  6 Fe 2.58-2.60
5 Fe 0.6255 0.6254 0.6254  6 Fe 2.58-2.60
6 Fe 0.1236 0.6254 0.6254  6 Fe 2.58-2.60

Computed properties:
Fermi-level density of states: 1.21 states/eV/atom
Calculated formation energy: -26 meV per atom



Record 3
DFT (PBE) results for crystalline YCd2SbPt at its relaxed geometry.

a b c (Å): 5.7617 5.0598 5.7617
angles (deg): 90.00 90.00 90.00
With the nearest neighbours (Å) after each atom.
Element x y z (fractional)
1 Y 0.0000 0.0000 0.0000  2 Pt 2.53
2 Sb 0.5000 0.5000 0.5000  8 Cd 3.83, 4 Pt 4.07
3 Pt 0.0000 0.5000 0.0000  2 Y 2.53
4 Cd 0.0000 0.0000 0.5000  2 Y 2.88
5 Cd 0.5000 0.0000 0.0000  2 Y 2.88

Computed properties:
Fermi-level density of states: 0.99 states/eV/atom
Formation energy from raw total energies: 711 meV/atom



Record 4
DFT (PBE) results for crystalline Ba7GaBi2O2 at its relaxed geometry.

a b c (Å): 5.4138 5.4138 15.3922
angles (deg): 79.87 79.87 90.00
With the nearest neighbours (Å) after each atom.
Element x y z (fractional)
1 Ba 0.5000 0.5000 0.0000  2 O 2.83
2 Ba 0.3006 0.3006 0.3989  1 O 3.12
3 Ba 0.6994 0.6994 0.6011  1 O 3.12
4 Ba 0.9056 0.4056 0.1889  2 O 2.71
5 Ba 0.4056 0.9056 0.1889  2 O 2.71
6 Ba 0.5944 0.0944 0.8111  2 O 2.71
7 Ba 0.0944 0.5944 0.8111  2 O 2.71
8 Ga 0.0000 0.0000 0.0000  12 Ba 3.83-3.91
9 Bi 0.8201 0.8201 0.3597  9 Ba 3.60-3.87
10 Bi 0.1799 0.1799 0.6403  9 Ba 3.60-3.87
11 O 0.5950 0.5950 0.8101  5 Ba 2.71-2.83
12 O 0.4050 0.4050 0.1899  5 Ba 2.71-2.83

Computed properties:
Fermi-level density of states: 0.57 states/eV/atom
Formation energy from raw total energies: -1279 meV/atom



Record 5
DFT (PBE) results for crystalline PuUGa2 at its relaxed geometry.

a b c (Å): 2.9719 2.9719 10.5945
angles (deg): 81.94 81.94 60.00
With the nearest neighbours (Å) after each atom.
Element x y z (fractional)
1 U 0.0000 0.0000 0.0000  6 U 2.97, 6 Ga 3.11
2 Ga 0.2506 0.2506 0.2481  6 Ga 2.97, 3 U 3.11, 3 Pu 3.14
3 Ga 0.7494 0.7494 0.7519  6 Ga 2.97, 3 U 3.11, 3 Pu 3.14
4 Pu 0.5000 0.5000 0.5000  6 Pu 2.97, 6 Ga 3.14

Computed properties:
Fermi-level density of states: 2.35 states/eV/atom
Distance to the lowest polymorph of the same formula: 0.59 eV/f.u.
Calculated formation energy: -52 meV per atom



Record 6
DFT (PBE) results for crystalline Pr2AgIr2 at its relaxed geometry.

a b c (Å): 4.5488 5.6475 5.6477
angles (deg): 63.68 66.25 66.25
With the nearest neighbours (Å) after each atom.
Element x y z (fractional)
1 Pr 0.7088 0.7912 0.2912  6 Ir 2.99-3.15, 2 Ag 3.35
2 Pr 0.2912 0.2088 0.7088  6 Ir 2.99-3.15, 2 Ag 3.35
3 Ag 0.5000 0.5000 0.0000  4 Ir 2.84
4 Ir 0.0000 0.2144 0.2856  1 Ir 2.55, 2 Ag 2.84
5 Ir 0.0000 0.7856 0.7144  1 Ir 2.55, 2 Ag 2.84

Computed properties:
Fermi-level density of states: 0.70 states/eV/atom
Calculated formation energy: -494 meV per atom



Record 7
DFT (PBE) results for crystalline Mg3Si4 at its relaxed geometry.

a b c (Å): 10.3751 10.0251 5.3494
angles (deg): 137.15 129.46 45.24
With the nearest neighbours (Å) after each atom.
Element x y z (fractional)
1 Si 0.0888 0.3779 0.9926  2 Si 2.44-2.56, 1 Mg 2.70
2 Si 0.5879 0.1029 0.8993  3 Si 2.43-2.49
3 Si 0.8238 0.7585 0.9003  3 Si 2.45-2.50
4 Si 0.1610 0.5910 0.9838  3 Si 2.47-2.75, 2 Mg 2.75-2.76
5 Si 0.3971 0.4013 0.3534  4 Si 2.43-2.56, 1 Mg 2.67
6 Si 0.5857 0.5876 0.0009  3 Si 2.49-2.52, 2 Mg 2.69-2.73
7 Si 0.8222 0.6989 0.2781  3 Si 2.44-2.50
8 Si 0.3792 0.9242 0.4468  2 Si 2.49, 1 Mg 2.78
9 Mg 0.4004 0.0246 0.1100  6 Si 2.78-3.01, 1 Mg 3.06
10 Mg 0.6245 0.5167 0.4481  7 Si 2.69-3.01
11 Mg 0.7293 0.1382 0.6663  5 Si 2.74-3.04, 3 Mg 3.01-3.06
12 Mg 0.9958 0.0445 0.3935  3 Si 2.70-2.91
13 Mg 0.0214 0.2986 0.3021  6 Si 2.75-3.07, 1 Mg 3.01
14 Mg 0.1365 0.7889 0.7321  4 Si 2.67-2.93

Computed properties:
Fermi-level density of states: 0.34 states/eV/atom
Formation energy from raw total energies: 141 meV/atom
Distance to the lowest polymorph of the same formula: 0.62 eV/f.u.



Record 8
DFT (PBE) results for crystalline SnSbP at its relaxed geometry.

a b c (Å): 7.0374 4.2279 12.9683
angles (deg): 90.00 117.13 90.00
With the nearest neighbours (Å) after each atom.
Element x y z (fractional)
1 Sn 0.2912 0.0000 0.6871  2 P 2.71, 1 Sb 3.01
2 Sn 0.2912 0.5000 0.1871  2 P 2.71, 1 Sb 3.01
3 Sn 0.9168 0.0000 0.2671  1 P 2.61, 3 Sb 2.88-2.90
4 Sn 0.9168 0.5000 0.7671  1 P 2.61, 3 Sb 2.88-2.90
5 Sb 0.2061 0.0000 0.8942  3 Sn 2.88-3.01
6 Sb 0.2061 0.5000 0.3942  3 Sn 2.88-3.01
7 Sb 0.8676 0.0000 0.0325  2 P 2.68, 1 Sn 2.90
8 Sb 0.8676 0.5000 0.5325  2 P 2.68, 1 Sn 2.90
9 P 0.6045 0.0000 0.4579  1 P 2.20
10 P 0.6045 0.5000 0.9579  1 P 2.20
11 P 0.5559 0.0000 0.2781  1 P 2.20
12 P 0.5559 0.5000 0.7781  1 P 2.20

Computed properties:
Fermi-level density of states: 0.23 states/eV/atom
Formation energy from raw total energies: 85 meV/atom
Distance to the lowest polymorph of the same formula: 0.08 eV/f.u.



Record 9
DFT (PBE) results for crystalline InAuBr4 at its relaxed geometry.

a b c (Å): 4.0077 7.6102 13.1577
angles (deg): 88.15 90.00 90.00
With the nearest neighbours (Å) after each atom.
Element x y z (fractional)
1 In 0.5000 0.5000 0.5000  6 Br 2.74-2.80
2 In 0.0000 0.0000 0.0000  6 Br 2.74-2.80
3 Au 0.0000 0.0000 0.5000  2 Br 2.53
4 Au 0.5000 0.5000 0.0000  2 Br 2.53
5 Br 0.5987 0.1937 0.3984  1 Au 2.53, 1 In 2.75
6 Br 0.0987 0.3063 0.1016  1 Au 2.53, 1 In 2.75
7 Br 0.4013 0.8063 0.6016  1 Au 2.53, 1 In 2.75
8 Br 0.9013 0.6937 0.8984  1 Au 2.53, 1 In 2.75
9 Br 0.0096 0.6187 0.3700  2 In 2.74-2.80
10 Br 0.5096 0.8813 0.1300  2 In 2.74-2.80
11 Br 0.9904 0.3813 0.6300  2 In 2.74-2.80
12 Br 0.4904 0.1187 0.8700  2 In 2.74-2.80

Computed properties:
Formation energy from raw total energies: -481 meV/atom



Record 10
DFT (PBE) results for crystalline La4NdCu at its relaxed geometry.

a b c (Å): 3.7070 3.7070 14.1325
angles (deg): 90.00 90.00 90.00
With the nearest neighbours (Å) after each atom.
Element x y z (fractional)
1 La 0.5000 0.5000 0.1845  4 Nd 3.70, 8 La 3.71-3.77
2 La 0.0000 0.0000 0.6237  4 Cu 3.15, 1 La 3.50
3 La 0.0000 0.0000 0.3763  4 Cu 3.15, 1 La 3.50
4 La 0.5000 0.5000 0.8155  4 Nd 3.70, 8 La 3.71-3.77
5 Nd 0.0000 0.0000 0.0000  8 La 3.70, 4 Nd 3.71
6 Cu 0.5000 0.5000 0.5000  8 La 3.15

Computed properties:
Fermi-level density of states: 1.60 states/eV/atom
Calculated formation energy: -36 meV per atom



Record 11
DFT (PBE) results for crystalline Sr2TlGa2 at its relaxed geometry.

a b c (Å): 4.8443 6.3808 10.6021
angles (deg): 83.10 76.79 67.69
With the nearest neighbours (Å) after each atom.
Element x y z (fractional)
1 Sr 0.3118 0.2718 0.1047  6 Ga 3.31-3.56, 2 Tl 3.61
2 Sr 0.5065 0.3112 0.6758  6 Ga 3.38-3.57, 4 Tl 3.42-3.67
3 Sr 0.6882 0.7282 0.8953  6 Ga 3.31-3.56, 2 Tl 3.61
4 Sr 0.4935 0.6888 0.3242  6 Ga 3.38-3.57, 4 Tl 3.42-3.67
5 Tl 0.7788 0.0951 0.3473  4 Ga 2.90-3.05
6 Tl 0.2212 0.9049 0.6527  4 Ga 2.90-3.05
7 Ga 0.9753 0.1494 0.8999  1 Ga 2.67, 1 Tl 2.98
8 Ga 0.1292 0.2931 0.4486  1 Ga 2.70, 2 Tl 2.90
9 Ga 0.0247 0.8506 0.1001  1 Ga 2.67, 1 Tl 2.98
10 Ga 0.8708 0.7069 0.5514  1 Ga 2.70, 2 Tl 2.90

Computed properties:
Fermi-level density of states: 0.62 states/eV/atom
Distance to the lowest polymorph of the same formula: 0.00 eV/f.u.
Calculated formation energy: -394 meV per atom



Record 12
DFT (PBE) results for crystalline Tc3GeMo at its relaxed geometry.

a b c (Å): 4.4558 4.4558 4.4558
angles (deg): 90.00 90.00 90.00
With the nearest neighbours (Å) after each atom.
Element x y z (fractional)
1 Mo 0.5000 0.5000 0.5000  12 Tc 3.15
2 Ge 0.0000 0.0000 0.0000  6 Tc 2.23
3 Tc 0.0000 0.5000 0.0000  2 Ge 2.23
4 Tc 0.0000 0.0000 0.5000  2 Ge 2.23
5 Tc 0.5000 0.0000 0.0000  2 Ge 2.23

Computed properties:
Fermi-level density of states: 0.58 states/eV/atom
Distance to the lowest polymorph of the same formula: 0.00 eV/f.u.
Calculated formation energy: 1321 meV per atom